[1]
{"formula": "Nd4Se3N2", "functional": "PBE", "state": "relaxed", "final_energy_ev_per_atom": -6.863, "magmom_total_mub_per_cell": 0.0, "sg": "C2/c (15)", "cell": [[-5.8162, -2.8198, -0.3062], [-3.4575, 6.8637, 3.1742], [-1.8587, 4.6329, -6.6499]], "species": ["N", "N", "N", "N", "Nd", "Nd", "Nd", "Nd", "Nd", "Nd", "Nd", "Nd", "Se", "Se", "Se", "Se", "Se", "Se"], "fractional_positions": [[0.5853, 0.3292, 0.0816], [0.0853, 0.0816, 0.3292], [0.9147, 0.9184, 0.6708], [0.4147, 0.6708, 0.9184], [0.9282, 0.2448, 0.0851], [0.5298, 0.5570, 0.1902], [0.4282, 0.0851, 0.2448], [0.9702, 0.8098, 0.4430], [0.0298, 0.1902, 0.5570], [0.5718, 0.9149, 0.7552], [0.4702, 0.4430, 0.8098], [0.0718, 0.7552, 0.9149], [0.7500, 0.9030, 0.0970], [0.0358, 0.5160, 0.2544], [0.4642, 0.7456, 0.4840], [0.5358, 0.2544, 0.5160], [0.9642, 0.4840, 0.7456], [0.2500, 0.0970, 0.9030]]}

[2]
{"formula": "PrGe2Pt", "functional": "PBE", "state": "relaxed", "final_energy_ev_per_atom": -5.721, "magmom_total_mub_per_cell": 0.0, "sg": "Pmn2_1 (31)", "cell": [[-1.2785, 2.1504, -3.4968], [2.8397, -4.2120, -3.6285], [-5.2537, -3.3972, -0.1682]], "species": ["Ge", "Ge", "Ge", "Ge", "Pr", "Pr", "Pt", "Pt"], "fractional_positions": [[0.0000, 0.2775, 0.1544], [0.0000, 0.8853, 0.3873], [0.5000, 0.7225, 0.6544], [0.5000, 0.1147, 0.8873], [0.5000, 0.6293, 0.1414], [0.0000, 0.3707, 0.6414], [0.5000, 0.1178, 0.3169], [0.0000, 0.8822, 0.8169]]}

[3]
{"formula": "CsHgTe3Pd", "functional": "PBE", "state": "relaxed", "final_energy_ev_per_atom": -2.981, "sg": "Cmcm (63)", "cell": [[2.1517, -8.3196, 0.0000], [2.1517, 8.3196, 0.0000], [0.0000, 0.0000, 11.7660]], "species": ["Cs", "Cs", "Hg", "Hg", "Pd", "Pd", "Te", "Te", "Te", "Te", "Te", "Te"], "fractional_positions": [[0.7535, 0.2465, 0.2500], [0.2465, 0.7535, 0.7500], [0.4445, 0.5555, 0.2500], [0.5555, 0.4445, 0.7500], [0.0000, 0.0000, 0.0000], [0.0000, 0.0000, 0.5000], [0.3971, 0.6029, 0.0192], [0.0590, 0.9410, 0.2500], [0.3971, 0.6029, 0.4807], [0.6029, 0.3971, 0.5192], [0.9410, 0.0590, 0.7500], [0.6029, 0.3971, 0.9807]]}

[4]
{"formula": "ThCo2", "functional": "PBE", "state": "relaxed", "magmom_total_mub_per_cell": 0.0, "sg": "P4_2/mnm (136)", "formation_enthalpy_0k_ev_per_atom": 0.82, "cell": [[-1.4259, 0.3733, 4.7323], [-0.5787, -4.9180, 0.2136], [4.5422, -0.4734, 1.4060]], "species": ["Co", "Co", "Co", "Co", "Th", "Th"], "fractional_positions": [[0.3342, 0.3342, 0.0000], [0.6658, 0.6658, 0.0000], [0.8342, 0.1658, 0.5000], [0.1658, 0.8342, 0.5000], [0.0000, 0.0000, 0.0000], [0.5000, 0.5000, 0.5000]]}

[5]
{"formula": "SrScAuS3", "functional": "PBE", "state": "relaxed", "final_energy_ev_per_atom": -5.402, "magmom_total_mub_per_cell": 0.0, "sg": "Pnma (62)", "cell": [[13.1858, 0.0000, 0.0000], [0.0000, 3.9030, 0.0000], [0.0000, 0.0000, 10.1375]], "species": ["Au", "Au", "Au", "Au", "S", "S", "S", "S", "S", "S", "S", "S", "S", "S", "S", "S", "Sc", "Sc", "Sc", "Sc", "Sr", "Sr", "Sr", "Sr"], "fractional_positions": [[0.5119, 0.2500, 0.1037], [0.0119, 0.2500, 0.3963], [0.9881, 0.7500, 0.6037], [0.4881, 0.7500, 0.8963], [0.0970, 0.2500, 0.0610], [0.6292, 0.7500, 0.1443], [0.8626, 0.2500, 0.2439], [0.3626, 0.2500, 0.2561], [0.1292, 0.7500, 0.3557], [0.5970, 0.2500, 0.4390], [0.4030, 0.7500, 0.5610], [0.8708, 0.2500, 0.6443], [0.6374, 0.7500, 0.7439], [0.1374, 0.7500, 0.7561], [0.3708, 0.2500, 0.8557], [0.9030, 0.7500, 0.9390], [0.9879, 0.7500, 0.1668], [0.4879, 0.7500, 0.3332], [0.5121, 0.2500, 0.6668], [0.0121, 0.2500, 0.8332], [0.2674, 0.7500, 0.0537], [0.7674, 0.7500, 0.4463], [0.2326, 0.2500, 0.5537], [0.7326, 0.2500, 0.9463]]}

[6]
{"formula": "HfZn2SnPt4", "functional": "PBE", "state": "relaxed", "final_energy_ev_per_atom": -5.710, "magmom_total_mub_per_cell": 0.0, "sg": "P4/mmm (123)", "cell": [[-2.3654, -2.6385, -2.7288], [2.8784, 0.8493, -3.3161], [3.6972, -5.2445, 1.8660]], "species": ["Hf", "Pt", "Pt", "Pt", "Pt", "Sn", "Zn", "Zn"], "fractional_positions": [[0.0000, 0.0000, 0.5000], [0.5000, 0.0000, 0.2541], [0.0000, 0.5000, 0.2541], [0.5000, 0.0000, 0.7459], [0.0000, 0.5000, 0.7459], [0.5000, 0.5000, 0.0000], [0.0000, 0.0000, 0.0000], [0.5000, 0.5000, 0.5000]]}

[7]
{"formula": "IrAu3", "functional": "PBE", "state": "relaxed", "magmom_total_mub_per_cell": 0.2, "sg": "Pmmn (59)", "formation_enthalpy_0k_ev_per_atom": 0.38, "cell": [[4.7594, 0.0000, 0.0000], [0.0000, 5.8003, 0.0000], [0.0000, 0.0000, 4.9360]], "species": ["Au", "Au", "Au", "Au", "Au", "Au", "Ir", "Ir"], "fractional_positions": [[0.5000, 0.5000, 0.1553], [0.0000, 0.2525, 0.3314], [0.0000, 0.7475, 0.3314], [0.5000, 0.2475, 0.6686], [0.5000, 0.7525, 0.6686], [0.0000, 0.0000, 0.8447], [0.5000, 0.0000, 0.1762], [0.0000, 0.5000, 0.8238]]}

[8]
{"formula": "TlPbAuO3", "functional": "PBE", "state": "relaxed", "final_energy_ev_per_atom": -4.622, "sg": "Pnma (62)", "cell": [[-3.3872, -0.7654, 0.2426], [1.5560, -4.3311, 8.0603], [-2.1311, 11.5238, 6.6036]], "species": ["Au", "Au", "Au", "Au", "O", "O", "O", "O", "O", "O", "O", "O", "O", "O", "O", "O", "Pb", "Pb", "Pb", "Pb", "Tl", "Tl", "Tl", "Tl"], "fractional_positions": [[0.7500, 0.4667, 0.0900], [0.2500, 0.9667, 0.4100], [0.7500, 0.0333, 0.5900], [0.2500, 0.5333, 0.9100], [0.7500, 0.2488, 0.0708], [0.2500, 0.9691, 0.0839], [0.7500, 0.6811, 0.1321], [0.2500, 0.1811, 0.3679], [0.7500, 0.4691, 0.4161], [0.2500, 0.7488, 0.4292], [0.7500, 0.2512, 0.5708], [0.2500, 0.5309, 0.5839], [0.7500, 0.8189, 0.6321], [0.2500, 0.3189, 0.8679], [0.7500, 0.0309, 0.9161], [0.2500, 0.7512, 0.9292], [0.7500, 0.8397, 0.0189], [0.2500, 0.3397, 0.4811], [0.7500, 0.6603, 0.5189], [0.2500, 0.1603, 0.9811], [0.7500, 0.0916, 0.2389], [0.2500, 0.5916, 0.2611], [0.7500, 0.4084, 0.7389], [0.2500, 0.9084, 0.7611]]}

[9]
{"formula": "Lu4TlGaC2", "functional": "PBE", "state": "relaxed", "final_energy_ev_per_atom": -5.685, "magmom_total_mub_per_cell": 0.2, "sg": "P-6m2 (187)", "cell": [[3.5082, 0.0000, 0.0000], [-1.7541, 3.0382, 0.0000], [0.0000, 0.0000, 15.5206]], "species": ["C", "C", "Ga", "Lu", "Lu", "Lu", "Lu", "Tl"], "fractional_positions": [[0.3333, 0.6667, 0.2443], [0.3333, 0.6667, 0.7557], [0.0000, 0.0000, 0.0000], [0.6667, 0.3333, 0.1575], [0.0000, 0.0000, 0.3256], [0.0000, 0.0000, 0.6745], [0.6667, 0.3333, 0.8425], [0.6667, 0.3333, 0.5000]]}

[10]
{"formula": "PrBiPb2O6", "functional": "PBE", "state": "relaxed", "final_energy_ev_per_atom": -6.154, "magmom_total_mub_per_cell": 0.0, "sg": "C2/m (12)", "cell": [[-3.2978, -4.9731, -0.8007], [0.2104, -4.3661, 4.1401], [-2.8265, 5.3173, 1.3537]], "species": ["Bi", "O", "O", "O", "O", "O", "O", "Pb", "Pb", "Pr"], "fractional_positions": [[0.5000, 0.5000, 0.0000], [0.6741, 0.1908, 0.1671], [0.1908, 0.6741, 0.1671], [0.7319, 0.7319, 0.3364], [0.2681, 0.2681, 0.6636], [0.8092, 0.3259, 0.8329], [0.3259, 0.8092, 0.8329], [0.2469, 0.2469, 0.2143], [0.7531, 0.7531, 0.7857], [0.0000, 0.0000, 0.5000]]}

[11]
{"formula": "Rb3NaAg2Bi2", "functional": "PBE", "state": "relaxed", "final_energy_ev_per_atom": -2.534, "sg": "Pm (6)", "cell": [[6.7598, 0.0000, 0.0000], [0.0000, 6.3587, 0.0000], [-1.5607, 0.0000, 6.8589]], "species": ["Ag", "Ag", "Bi", "Bi", "Na", "Rb", "Rb", "Rb"], "fractional_positions": [[0.0002, 0.2534, 0.9895], [0.0002, 0.7466, 0.9895], [0.2396, 0.0000, 0.2777], [0.7315, 0.5000, 0.7148], [0.8396, 0.0000, 0.5028], [0.5422, 0.5000, 0.1791], [0.1772, 0.5000, 0.5184], [0.4695, 0.0000, 0.8282]]}

[12]
{"formula": "BaDyCo", "functional": "PBE", "state": "relaxed", "final_energy_ev_per_atom": -3.313, "magmom_total_mub_per_cell": 0.1, "sg": "F-43m (216)", "cell": [[0.0000, 3.4430, 3.4430], [3.4430, 0.0000, 3.4430], [3.4430, 3.4430, 0.0000]], "species": ["Ba", "Co", "Dy"], "fractional_positions": [[0.0000, 0.0000, 0.0000], [0.2500, 0.2500, 0.2500], [0.7500, 0.7500, 0.7500]]}

[13]
{"formula": "CsAgBiAu", "functional": "PBE", "state": "relaxed", "final_energy_ev_per_atom": -2.368, "sg": "F-43m (216)", "cell": [[2.3117, -3.1616, 3.8607], [1.4151, 2.1734, 4.8496], [-2.8248, -1.3147, 4.5318]], "species": ["Ag", "Au", "Bi", "Cs"], "fractional_positions": [[0.5000, 0.5000, 0.5000], [0.7500, 0.7500, 0.7500], [0.2500, 0.2500, 0.2500], [0.0000, 0.0000, 0.0000]]}

[14]
{"formula": "Sm2Y2CBr3Cl2", "functional": "PBE", "state": "relaxed", "final_energy_ev_per_atom": -5.571, "magmom_total_mub_per_cell": 0.3, "sg": "C2/m (12)", "cell": [[-7.2050, 0.7756, 5.2034], [-4.9230, -1.4607, 7.2952], [4.5012, 6.4808, 2.0176]], "species": ["Br", "Br", "Br", "C", "Cl", "Cl", "Sm", "Sm", "Y", "Y"], "fractional_positions": [[0.1655, 0.1655, 0.3536], [0.5000, 0.5000, 0.5000], [0.8345, 0.8345, 0.6464], [0.5000, 0.5000, 0.0000], [0.8320, 0.8320, 0.1626], [0.1680, 0.1680, 0.8374], [0.6458, 0.6458, 0.0783], [0.3542, 0.3542, 0.9217], [0.9978, 0.9978, 0.2007], [0.0022, 0.0022, 0.7993]]}

[15]
{"formula": "FeRe2Ge", "functional": "PBE", "state": "relaxed", "final_energy_ev_per_atom": -9.154, "magmom_total_mub_per_cell": 2.2, "sg": "F-43m (216)", "cell": [[3.5447, -1.2655, 2.0515], [0.1084, -3.8253, 1.9314], [2.4061, -3.1538, -1.6245]], "species": ["Fe", "Ge", "Re", "Re"], "fractional_positions": [[0.2500, 0.2500, 0.2500], [0.5000, 0.5000, 0.5000], [0.0000, 0.0000, 0.0000], [0.7500, 0.7500, 0.7500]]}

[16]
{"formula": "LiZn2Ag", "functional": "PBE", "state": "relaxed", "final_energy_ev_per_atom": -1.995, "sg": "F-43m (216)", "cell": [[2.2983, -3.1732, 1.9501], [-1.3864, -4.1462, -0.2017], [2.1837, -2.9224, -2.4177]], "species": ["Ag", "Li", "Zn", "Zn"], "fractional_positions": [[0.2500, 0.2500, 0.2500], [0.5000, 0.5000, 0.5000], [0.0000, 0.0000, 0.0000], [0.7500, 0.7500, 0.7500]]}

[17]
{"formula": "NpScBi", "functional": "PBE", "state": "relaxed", "final_energy_ev_per_atom": -7.146, "magmom_total_mub_per_cell": 6.8, "sg": "F-43m (216)", "cell": [[0.0000, 3.6507, 3.6507], [3.6507, 0.0000, 3.6507], [3.6507, 3.6507, 0.0000]], "species": ["Bi", "Np", "Sc"], "fractional_positions": [[0.2500, 0.2500, 0.2500], [0.0000, 0.0000, 0.0000], [0.7500, 0.7500, 0.7500]]}

[18]
{"formula": "Sr3P4Ir2", "functional": "PBE", "state": "relaxed", "final_energy_ev_per_atom": -5.785, "magmom_total_mub_per_cell": 0.0, "sg": "C2/c (15)", "cell": [[-5.4313, -6.2338, 0.0646], [3.9882, -6.2215, 3.7081], [-2.1564, 2.2716, 5.5675]], "species": ["Ir", "Ir", "Ir", "Ir", "P", "P", "P", "P", "P", "P", "P", "P", "Sr", "Sr", "Sr", "Sr", "Sr", "Sr"], "fractional_positions": [[0.1635, 0.4185, 0.0721], [0.5815, 0.8365, 0.4279], [0.4185, 0.1635, 0.5721], [0.8365, 0.5815, 0.9279], [0.9345, 0.2995, 0.0323], [0.5995, 0.7388, 0.0868], [0.2612, 0.4005, 0.4132], [0.7005, 0.0655, 0.4677], [0.2995, 0.9345, 0.5323], [0.7388, 0.5995, 0.5868], [0.4005, 0.2612, 0.9132], [0.0655, 0.7005, 0.9677], [0.2557, 0.9879, 0.0440], [0.5901, 0.4099, 0.2500], [0.0121, 0.7443, 0.4560], [0.9879, 0.2557, 0.5440], [0.4099, 0.5901, 0.7500], [0.7443, 0.0121, 0.9560]]}

[19]
{"formula": "PuGa2Sb", "functional": "PBE", "state": "relaxed", "final_energy_ev_per_atom": -6.550, "magmom_total_mub_per_cell": 5.3, "sg": "P4/mmm (123)", "cell": [[4.4303, 0.0000, 0.0000], [0.0000, 4.4303, 0.0000], [0.0000, 0.0000, 4.4328]], "species": ["Ga", "Ga", "Pu", "Sb"], "fractional_positions": [[0.5000, 0.0000, 0.0000], [0.0000, 0.5000, 0.0000], [0.0000, 0.0000, 0.5000], [0.5000, 0.5000, 0.5000]]}

[20]
{"formula": "BaNd2In2O7", "functional": "PBE", "state": "relaxed", "final_energy_ev_per_atom": -6.784, "magmom_total_mub_per_cell": 0.0, "sg": "P4_2/mnm (136)", "cell": [[5.9184, 0.0000, 0.0000], [0.0000, 5.9184, 0.0000], [0.0000, 0.0000, 20.5659]], "species": ["Ba", "Ba", "Ba", "Ba", "In", "In", "In", "In", "In", "In", "In", "In", "Nd", "Nd", "Nd", "Nd", "Nd", "Nd", "Nd", "Nd", "O", "O", "O", "O", "O", "O", "O", "O", "O", "O", "O", "O", "O", "O", "O", "O", "O", "O", "O", "O", "O", "O", "O", "O", "O", "O", "O", "O"], "fractional_positions": [[0.2610, 0.2610, 0.0000], [0.7390, 0.7390, 0.0000], [0.7610, 0.2390, 0.5000], [0.2390, 0.7610, 0.5000], [0.7595, 0.2405, 0.1033], [0.2405, 0.7595, 0.1033], [0.2595, 0.2595, 0.3967], [0.7405, 0.7405, 0.3967], [0.2595, 0.2595, 0.6033], [0.7405, 0.7405, 0.6033], [0.7595, 0.2405, 0.8967], [0.2405, 0.7595, 0.8967], [0.2788, 0.2788, 0.1860], [0.7212, 0.7212, 0.1860], [0.7788, 0.2212, 0.3140], [0.2212, 0.7788, 0.3140], [0.7788, 0.2212, 0.6860], [0.2212, 0.7788, 0.6860], [0.2788, 0.2788, 0.8140], [0.7212, 0.7212, 0.8140], [0.7967, 0.2033, 0.0000], [0.2033, 0.7967, 0.0000], [0.5000, 0.5000, 0.0915], [0.5000, 0.0000, 0.1183], [0.0000, 0.5000, 0.1183], [0.0000, 0.0000, 0.1375], [0.6790, 0.3210, 0.2119], [0.3210, 0.6790, 0.2119], [0.1790, 0.1790, 0.2881], [0.8210, 0.8210, 0.2881], [0.5000, 0.5000, 0.3625], [0.5000, 0.0000, 0.3817], [0.0000, 0.5000, 0.3817], [0.0000, 0.0000, 0.4085], [0.2967, 0.2967, 0.5000], [0.7033, 0.7033, 0.5000], [0.0000, 0.0000, 0.5915], [0.5000, 0.0000, 0.6183], [0.0000, 0.5000, 0.6183], [0.5000, 0.5000, 0.6375], [0.1790, 0.1790, 0.7119], [0.8210, 0.8210, 0.7119], [0.6790, 0.3210, 0.7881], [0.3210, 0.6790, 0.7881], [0.0000, 0.0000, 0.8625], [0.5000, 0.0000, 0.8817], [0.0000, 0.5000, 0.8817], [0.5000, 0.5000, 0.9085]]}

[21]
{"formula": "BaAgP", "functional": "PBE", "state": "relaxed", "final_energy_ev_per_atom": -3.667, "sg": "P6_3/mmc (194)", "cell": [[-4.5130, -2.9001, -0.7885], [4.5091, -2.4312, 1.7769], [-1.8115, 1.1437, 6.1615]], "species": ["Ag", "Ag", "Ba", "Ba", "P", "P"], "fractional_positions": [[0.0000, 0.0000, 0.0000], [0.0000, 0.0000, 0.5000], [0.6667, 0.3333, 0.2500], [0.3333, 0.6667, 0.7500], [0.3333, 0.6667, 0.2500], [0.6667, 0.3333, 0.7500]]}

Calculated V (Å³ per cell), listed in the same order as above: 433.5; 168.0; 421.3; 117.4; 521.7; 133.7; 136.3; 434.6; 165.4; 160.7; 294.8; 81.6; 117.6; 263.2; 55.7; 59.3; 97.3; 421.9; 87.0; 720.4; 166.1
Calculated calculated density (g cm⁻³), listed in the same order as above: 6.45; 9.51; 6.49; 9.90; 5.42; 15.01; 19.09; 10.03; 10.02; 8.89; 5.14; 7.30; 9.13; 5.05; 14.93; 6.88; 8.38; 6.07; 9.64; 7.08; 5.52